First-principles (PBE+U) data for an optimized crystal structure of NpFePb2O6, as listed in the Alexandria database.

Lattice parameters (Å, degrees): 5.8688 5.8688 4.3270 90.00 90.00 90.00
Last column: nearest neighbours and their distance in Å.
Atoms (fractional coordinates):
Np 0.0000 0.0000 0.0000  6 O 2.02-2.18
Fe 0.5000 0.5000 0.9709  6 O 2.06-2.27
Pb 0.0000 0.5000 0.4251  8 O 2.70-2.95
Pb 0.5000 0.0000 0.4251  8 O 2.70-2.95
O 0.0000 0.0000 0.5029  2 Np 2.15-2.18
O 0.2429 0.2429 0.0266  1 Np 2.02, 1 Fe 2.15
O 0.2429 0.7571 0.0266  1 Np 2.02, 1 Fe 2.15
O 0.5000 0.5000 0.4953  2 Fe 2.06-2.27
O 0.7571 0.2429 0.0266  1 Np 2.02, 1 Fe 2.15
O 0.7571 0.7571 0.0266  1 Np 2.02, 1 Fe 2.15

Summary:
- final energy (eV/atom) = -7.3525
- crystal system = tetragonal
- ρ (Mg/m³) = 8.95